Record 1
Density functional theory data (GGA-PBE) for crystalline LiAlTlF6 at its relaxed geometry.

Summary:
The magnetization comes out at 0.3 μB per formula unit. The value obtained for the raw formation energy is -2.712 eV per atom.

Unit cell a=5.6095 b=5.6095 c=8.5607 alpha=90.00 beta=90.00 gamma=120.00
Space group P-31c (No. 163)
Unique sites:
Li  0.0000  0.0000  0.0000 [2 per cell]
Al  0.3333  0.6667  0.2500 [2 per cell]
Tl  0.3333  0.6667  0.7500 [2 per cell]
F  0.0776  0.3847  0.1264 [12 per cell]

Record 2
Density functional theory data (GGA-PBE) for crystalline LiY2AlF at its relaxed geometry.

Summary:
The magnetization comes out at 0.0 μB per formula unit. The value obtained for the raw formation energy is -1.185 eV per atom.

Unit cell a=5.025 b=5.025 c=3.816 alpha=90.00 beta=90.00 gamma=90.00
Space group P4/mmm (No. 123)
Unique sites:
Li  0.000  0.000  0.000 [1 per cell]
Y  0.000  0.500  0.500 [2 per cell]
Al  0.500  0.500  0.000 [1 per cell]
F  0.000  0.000  0.500 [1 per cell]

Record 3
Density functional theory data (GGA-PBE) for crystalline LiYbAlF6 at its relaxed geometry.

Summary:
The magnetization comes out at 0.3 μB per formula unit. The value obtained for the raw formation energy is -3.512 eV per atom.

Unit cell a=5.1225 b=5.1225 c=9.9532 alpha=90.00 beta=90.00 gamma=120.00
Space group P-31c (No. 163)
Unique sites:
Li  0.3333  0.6667  0.2500 [2 per cell]
Yb  0.0000  0.0000  0.0000 [2 per cell]
Al  0.3333  0.6667  0.7500 [2 per cell]
F  0.0317  0.3804  0.6451 [12 per cell]

Number 1: total energy -87.31 eV per cell. Number 2: total energy -26.38 eV per cell. Number 3: total energy -100.03 eV per cell.